Here is a relaxed BaPaB2O8 crystal from Alexandria via LeMat-Bulk. Energies are from GGA-PBE.

Unit cell a=5.278 b=5.278 c=7.642 alpha=90.00 beta=90.00 gamma=120.00
Each line ends with the local moment (μB).
Element x y z (fractional)
B: 0.667 0.333 0.259  -0.02
B: 0.333 0.667 0.741  -0.02
O: 0.183 0.820 0.681  0.23
O: 0.180 0.363 0.681  0.23
O: 0.333 0.667 0.932  0.62
O: 0.667 0.333 0.068  0.62
O: 0.363 0.183 0.319  0.23
O: 0.820 0.637 0.319  0.23
O: 0.817 0.180 0.319  0.23
O: 0.637 0.817 0.681  0.23
Pa: 0.000 0.000 0.500  -0.03
Ba: 0.000 0.000 0.000  -0.01

Output
As for the density of states at the Fermi level: 0.428 states/eV/atom. The space-group type is P-3, No. 147. For the raw formation energy, the calculation gives -2.35 eV/atom.